No. 1
The following is a PBE calculation of crystalline CoOsW at its relaxed geometry, from Alexandria.

Computed properties:
Calculated formation energy, kJ/mol of formula units: 46
Offset from the most stable computed form, meV/atom: 137.2
Raw total energy, Ry per atom: -0.75492

Unit cell a=5.9533 b=5.9534 c=2.7012 alpha=76.89 beta=76.89 gamma=26.22
Closest atoms and distances in Å follow each position.
Sites, in units of the cell vectors:
W  0.6607  0.6607  0.3393  4 Co 2.66, 4 W 2.70, 4 Os 2.81
Os  0.3429  0.3429  0.6571  4 Co 2.58, 4 Os 2.70, 4 W 2.81
Co  0.9964  0.9964  0.0036  4 Os 2.58, 4 W 2.66, 4 Co 2.70

No. 2
The following is a PBE calculation of crystalline Co2OsW at its relaxed geometry, from Alexandria.

Computed properties:
Calculated formation energy, kJ/mol of formula units: 39
Offset from the most stable computed form, meV/atom: 100.9
Raw total energy, Ry per atom: -0.69802

Unit cell a=4.5169 b=4.5169 c=4.5722 alpha=81.12 beta=81.12 gamma=34.10
Closest atoms and distances in Å follow each position.
Sites, in units of the cell vectors:
Co  0.7526  0.7526  0.7432  3 Os 2.53-2.57, 5 Co 2.58-2.65, 4 W 2.60-2.68
Co  0.0006  0.0006  0.9928  4 Os 2.50-2.79, 5 Co 2.58-2.65, 3 W 2.59-2.61
W  0.2521  0.2521  0.2327  7 Co 2.59-2.68, 2 W 2.65, 3 Os 2.68-2.75
Os  0.4948  0.4948  0.5313  7 Co 2.50-2.79, 2 Os 2.65, 3 W 2.68-2.75

No. 3
The following is a PBE calculation of crystalline CoOs2W at its relaxed geometry, from Alexandria.

Computed properties:
Calculated formation energy, kJ/mol of formula units: 63
Offset from the most stable computed form, meV/atom: 160.8
Raw total energy, Ry per atom: -0.76918

Unit cell a=4.6201 b=4.6201 c=2.7701 alpha=90.00 beta=90.00 gamma=108.08
Closest atoms and distances in Å follow each position.
Sites, in units of the cell vectors:
Os  0.5000  0.5000  0.0000  4 W 2.69, 4 Co 2.69, 4 Os 2.71-2.77
Os  0.0000  0.0000  0.0000  4 Co 2.69, 4 W 2.69, 4 Os 2.71-2.77
W  0.5000  0.0000  0.5000  8 Os 2.69, 2 Co 2.71, 2 W 2.77
Co  0.0000  0.5000  0.5000  8 Os 2.69, 2 W 2.71, 2 Co 2.77

No. 4
The following is a PBE calculation of crystalline CoOsW2 at its relaxed geometry, from Alexandria.

Computed properties:
Calculated formation energy, kJ/mol of formula units: 53
Offset from the most stable computed form, meV/atom: 96.9
Raw total energy, Ry per atom: -0.80284

Unit cell a=4.7520 b=4.7520 c=4.7527 alpha=132.30 beta=132.30 gamma=69.74
Closest atoms and distances in Å follow each position.
Sites, in units of the cell vectors:
W  0.7500  0.2500  0.5000  4 Os 2.72, 4 Co 2.74, 4 W 2.74
W  0.0000  0.0000  0.0000  4 Co 2.72, 4 Os 2.74, 4 W 2.74
Co  0.5000  0.5000  0.0000  8 W 2.72-2.74, 4 Os 2.74
Os  0.2500  0.7500  0.5000  8 W 2.72-2.74, 4 Co 2.74